# ZrTiPd4 PBE relaxed
data_ZrTiPd4
_space_group_name_H-M_alt 'P 1'
_space_group_IT_number 1
_cell_length_a 6.4610
_cell_length_b 6.4610
_cell_length_c 7.9418
_cell_angle_alpha 90.00
_cell_angle_beta 90.00
_cell_angle_gamma 143.62
loop_
_space_group_symop_operation_xyz
'x,y,z'
loop_
_atom_site_label
_atom_site_type_symbol
_atom_site_fract_x
_atom_site_fract_y
_atom_site_fract_z
Zr1 Zr 0.1782 0.8218 0.7500
Zr2 Zr 0.8218 0.1782 0.2500
Ti1 Ti 0.4798 0.5202 0.7500
Ti2 Ti 0.5202 0.4798 0.2500
Pd1 Pd 0.0000 0.0000 0.0000
Pd2 Pd 0.0000 0.0000 0.5000
Pd3 Pd 0.1614 0.8386 0.2500
Pd4 Pd 0.3402 0.6598 0.0089
Pd5 Pd 0.3402 0.6598 0.4911
Pd6 Pd 0.6598 0.3402 0.5089
Pd7 Pd 0.6598 0.3402 0.9911
Pd8 Pd 0.8386 0.1614 0.7500
# - E above lowest polymorph: 0 meV per atom
# - Formation energy from the elements: -0.64 eV/atom


# LiSn PBE relaxed
data_LiSn
_space_group_name_H-M_alt 'P 1'
_space_group_IT_number 1
_cell_length_a 8.6851
_cell_length_b 8.6851
_cell_length_c 5.0856
_cell_angle_alpha 90.00
_cell_angle_beta 90.00
_cell_angle_gamma 90.00
loop_
_space_group_symop_operation_xyz
'x,y,z'
loop_
_atom_site_label
_atom_site_type_symbol
_atom_site_fract_x
_atom_site_fract_y
_atom_site_fract_z
Li1 Li 0.0649 0.2697 0.0000
Li2 Li 0.1176 0.7632 0.5000
Li3 Li 0.2368 0.1176 0.5000
Li4 Li 0.2697 0.9351 0.0000
Li5 Li 0.7303 0.0649 0.0000
Li6 Li 0.7632 0.8824 0.5000
Li7 Li 0.8824 0.2368 0.5000
Li8 Li 0.9351 0.7303 0.0000
Sn1 Sn 0.1564 0.4294 0.5000
Sn2 Sn 0.2636 0.5995 0.0000
Sn3 Sn 0.4005 0.2636 0.0000
Sn4 Sn 0.4294 0.8436 0.5000
Sn5 Sn 0.5706 0.1564 0.5000
Sn6 Sn 0.5995 0.7365 0.0000
Sn7 Sn 0.7365 0.4005 0.0000
Sn8 Sn 0.8436 0.5706 0.5000
# - Formation energy from the elements: -0.15 eV/atom


# Cs2VSnS4 PBE relaxed
data_Cs2VSnS4
_space_group_name_H-M_alt 'P 1'
_space_group_IT_number 1
_cell_length_a 14.1843
_cell_length_b 12.7986
_cell_length_c 7.7841
_cell_angle_alpha 83.31
_cell_angle_beta 63.66
_cell_angle_gamma 33.03
loop_
_space_group_symop_operation_xyz
'x,y,z'
loop_
_atom_site_label
_atom_site_type_symbol
_atom_site_fract_x
_atom_site_fract_y
_atom_site_fract_z
Cs1 Cs 0.0542 0.0542 0.6958
Cs2 Cs 0.3042 0.3042 0.9458
Cs3 Cs 0.6958 0.6958 0.0542
Cs4 Cs 0.9458 0.9458 0.3042
V1 V 0.3750 0.3750 0.3750
V2 V 0.6250 0.6250 0.6250
Sn1 Sn 0.1250 0.1250 0.1250
Sn2 Sn 0.8750 0.8750 0.8750
S1 S 0.0292 0.6220 0.5433
S2 S 0.3055 0.5433 0.6220
S3 S 0.3780 0.9708 0.6945
S4 S 0.4567 0.6945 0.9708
S5 S 0.5433 0.3055 0.0292
S6 S 0.6220 0.0292 0.3055
S7 S 0.6945 0.4567 0.3780
S8 S 0.9708 0.3780 0.4567
# - Formation energy from raw total energies: -7.1 eV/f.u.


# Ba2MgZn3Ge4 PBE relaxed
data_Ba2MgZn3Ge4
_space_group_name_H-M_alt 'P 1'
_space_group_IT_number 1
_cell_length_a 4.5457
_cell_length_b 4.5457
_cell_length_c 11.1006
_cell_angle_alpha 90.00
_cell_angle_beta 90.00
_cell_angle_gamma 90.00
loop_
_space_group_symop_operation_xyz
'x,y,z'
loop_
_atom_site_label
_atom_site_type_symbol
_atom_site_fract_x
_atom_site_fract_y
_atom_site_fract_z
Ba1 Ba 0.0000 0.5000 0.2462
Ba2 Ba 0.5000 0.0000 0.7538
Mg1 Mg 0.0000 0.0000 0.5000
Zn1 Zn 0.0000 0.5000 0.8717
Zn2 Zn 0.5000 0.0000 0.1283
Zn3 Zn 0.5000 0.5000 0.5000
Ge1 Ge 0.0000 0.0000 0.0000
Ge2 Ge 0.0000 0.5000 0.6366
Ge3 Ge 0.5000 0.0000 0.3634
Ge4 Ge 0.5000 0.5000 0.0000
# - Formation energy from the elements: -0.41 eV/atom


# ZnCl3 PBE relaxed
data_ZnCl3
_space_group_name_H-M_alt 'P 1'
_space_group_IT_number 1
_cell_length_a 11.4337
_cell_length_b 11.4337
_cell_length_c 11.4337
_cell_angle_alpha 17.63
_cell_angle_beta 17.63
_cell_angle_gamma 17.63
loop_
_space_group_symop_operation_xyz
'x,y,z'
loop_
_atom_site_label
_atom_site_type_symbol
_atom_site_fract_x
_atom_site_fract_y
_atom_site_fract_z
Zn1 Zn 0.0000 0.0000 0.0000
Cl1 Cl 0.3751 0.3751 0.3751
Cl2 Cl 0.5000 0.5000 0.5000
Cl3 Cl 0.6249 0.6249 0.6249
# - Formation energy from raw total energies: -2.1 eV/f.u.


# BeCdCl2 PBE relaxed
data_BeCdCl2
_space_group_name_H-M_alt 'P 1'
_space_group_IT_number 1
_cell_length_a 4.9019
_cell_length_b 4.9019
_cell_length_c 4.9019
_cell_angle_alpha 60.00
_cell_angle_beta 60.00
_cell_angle_gamma 60.00
loop_
_space_group_symop_operation_xyz
'x,y,z'
loop_
_atom_site_label
_atom_site_type_symbol
_atom_site_fract_x
_atom_site_fract_y
_atom_site_fract_z
Be1 Be 0.0000 0.0000 0.0000
Cd1 Cd 0.2500 0.2500 0.2500
Cl1 Cl 0.5000 0.5000 0.5000
Cl2 Cl 0.7500 0.7500 0.7500
# - E above lowest polymorph: 1340 meV per atom
# - Formation energy from raw total energies: 1.7 eV/f.u.


no.,total magnetization (μB per cell),calculated volume (Å³/atom)
1,0.001,16.4
2,0.000,24.0
3,2.000,36.8
4,0.000,22.9
5,1.000,29.9
6,0.010,20.8